VASP calculation (PBE) on a relaxed V8GaGe2 crystal.

Cell lengths 6.6248, 6.6248, 6.4741 Å; angles 117.11, 117.11, 37.30 degrees
Last column: nearest neighbours and their distance in Å.
Fractional positions:
V (0.0333, 0.0333, 0.2372)  7 V 2.49-2.77, 1 Ge 2.55
V (0.1445, 0.1445, 0.6910)  3 V 2.48-2.58, 3 Ge 2.65-2.68, 2 Ga 2.67
V (0.3187, 0.3187, 0.6102)  6 V 2.48-2.67, 3 Ge 2.60-2.75, 1 Ga 2.69
V (0.4080, 0.4080, 0.0477)  4 V 2.49-2.66, 2 Ge 2.56, 1 Ga 2.58
V (0.5920, 0.5920, 0.9523)  4 V 2.49-2.66, 2 Ge 2.56, 1 Ga 2.58
V (0.6813, 0.6813, 0.3898)  6 V 2.48-2.67, 3 Ge 2.60-2.75, 1 Ga 2.69
V (0.8555, 0.8555, 0.3090)  3 V 2.48-2.58, 3 Ge 2.65-2.68, 2 Ga 2.67
V (0.9667, 0.9667, 0.7628)  7 V 2.49-2.77, 1 Ge 2.55
Ga (0.5000, 0.5000, 0.5000)  12 V 2.58-2.87
Ge (0.2122, 0.2122, 0.1524)  10 V 2.55-2.85
Ge (0.7878, 0.7878, 0.8476)  10 V 2.55-2.85

**Density of states at the Fermi level**: 8.6 states/eV/f.u.
**Raw total energy**: -87.7 eV/cell